{"formula": "Pm2ScZnS5", "functional": "GGA-PBE", "state": "relaxed", "lattice": [[3.8176, 0.0000, 0.0000], [-1.9088, 8.3503, 0.0000], [0.0000, 0.0000, 11.6835]], "species": ["Pm", "Pm", "Pm", "Pm", "S", "S", "S", "S", "S", "S", "S", "S", "S", "S", "Sc", "Sc", "Zn", "Zn"], "frac_coords": [[0.8666, 0.7331, 0.8091], [0.8841, 0.7683, 0.1851], [0.1159, 0.2317, 0.6851], [0.1334, 0.2669, 0.3091], [0.7121, 0.4243, 0.1657], [0.0489, 0.0977, 0.0608], [0.6447, 0.2894, 0.5018], [0.9511, 0.9023, 0.5608], [0.3553, 0.7106, 0.0018], [0.2879, 0.5757, 0.6657], [0.3115, 0.6230, 0.3588], [0.5041, 0.0083, 0.2761], [0.4959, 0.9917, 0.7761], [0.6885, 0.3770, 0.8588], [0.7982, 0.5965, 0.5140], [0.2018, 0.4035, 0.0140], [0.4483, 0.8967, 0.4525], [0.5517, 0.1033, 0.9525]], "dft_energy_ev_per_atom": -5.91, "formation_energy_uncorrected_mev_per_atom": -1721}